1.
Material: Li5ReN3
Method: DFT, GGA-PBE
State: relaxed

Values from the calculation:
Total magnetization, μB per atom: 0.000
VASP energy, eV/atom: -5.5792
Theoretical density, g cm⁻³: 4.6
ΔE_f (raw), eV/atom: -0.358

Lattice parameters (Å, degrees): 10.7703 5.2637 7.1394 90.00 109.80 90.00
Last column: nearest neighbours and their distance in Å.
Space group C2/c (No. 15)
Asymmetric unit:
Li: 0.0000 0.1515 0.2500  2 N 2.15
Li: 0.1774 0.1329 0.0786  3 N 2.04-2.17, 1 Li 2.28
Li: 0.1888 0.3908 0.5975  3 N 2.00-2.05
Re: 0.0000 0.3411 0.7500  4 N 1.95-1.97
N: 0.0000 0.5000 0.0000  2 Re 1.97, 2 Li 2.00
N: 0.1529 0.1257 0.7824  1 Re 1.95, 6 Li 2.04-2.17



2.
Material: Pr12Sm5In2
Method: DFT, GGA-PBE
State: relaxed

Values from the calculation:
E_form, meV per atom: -23
Total magnetization, μB per atom: 0.000
VASP energy, eV/atom: -4.5721
Theoretical density, g cm⁻³: 6.8

Lattice parameters (Å, degrees): 15.7890 9.4689 8.7689 90.00 93.82 90.00
Last column: nearest neighbours and their distance in Å.
Space group C2/m (No. 12)
Asymmetric unit:
Pr: 0.0568 0.0000 0.3244  2 In 3.36, 2 Sm 3.39-3.54, 7 Pr 3.41-3.67
Pr: 0.0792 0.5000 0.8851  5 Pr 3.32-3.64, 2 In 3.50, 3 Sm 3.52-3.71
Pr: 0.1254 0.1945 0.6701  5 Pr 3.42-3.68, 4 Sm 3.46-3.76, 1 In 3.62
Pr: 0.1463 0.3148 0.2356  1 In 3.28, 4 Pr 3.41-3.64, 1 Sm 3.65
Sm: 0.0000 0.5000 0.5000  10 Pr 3.52-3.81, 2 Sm 3.68
Sm: 0.1897 0.0000 0.0145  2 In 3.41, 6 Pr 3.54-3.70, 1 Sm 3.68
Sm: 0.2318 0.5000 0.5807  8 Pr 3.39-3.74, 2 Sm 3.68
In: 0.0000 0.1741 0.0000  8 Pr 3.28-3.62, 1 In 3.30, 2 Sm 3.41



3.
Material: Ba2TiRe2
Method: DFT, GGA-PBE
State: relaxed

Values from the calculation:
E_form, meV per atom: 865
Total magnetization, μB per atom: 0.000
VASP energy, eV/atom: -6.4626
Theoretical density, g cm⁻³: 8.9

Lattice parameters (Å, degrees): 6.7357 6.7357 5.6974 90.00 90.00 90.00
Last column: nearest neighbours and their distance in Å.
Space group P4/mbm (No. 127)
Asymmetric unit:
Ba: 0.1787 0.3213 0.0000  6 Re 3.40-3.53, 5 Ba 3.40-3.50, 4 Ti 3.77
Ti: 0.0000 0.0000 0.5000  4 Re 2.66
Re: 0.1261 0.6261 0.5000  1 Re 2.40, 2 Ti 2.66



4.
Material: Tm8Si3SeS4
Method: DFT, GGA-PBE
State: relaxed

Values from the calculation:
Total magnetization, μB per atom: 0.000
VASP energy, eV/atom: -6.0057
Theoretical density, g cm⁻³: 7.7
ΔE_f (raw), eV/atom: -1.503

Lattice parameters (Å, degrees): 7.9458 7.9458 19.3858 90.00 90.00 120.00
Last column: nearest neighbours and their distance in Å.
Space group R-3m (No. 166, hexagonal axes)
Asymmetric unit:
Tm: 0.0000 0.0000 0.2489  3 Si 2.79, 3 S 2.82
Tm: 0.0085 0.5043 0.7507  3 S 2.77-2.84, 2 Si 2.77, 1 Se 2.85
Si: 0.0000 0.5000 0.5000  6 Tm 2.77-2.79
Se: 0.0000 0.0000 0.5000  6 Tm 2.85
S: 0.0000 0.0000 0.0000  6 Tm 2.77
S: 0.0000 0.5000 0.0000  6 Tm 2.82-2.84



5.
Material: Th2CoAs
Method: DFT, GGA-PBE
State: relaxed

Values from the calculation:
E_form, meV per atom: -728
Total magnetization, μB per atom: 0.000
VASP energy, eV/atom: -7.3767
Theoretical density, g cm⁻³: 10.2

Lattice parameters (Å, degrees): 3.9432 22.9248 4.3177 90.00 90.00 90.00
Last column: nearest neighbours and their distance in Å.
Space group Cmcm (No. 63)
Asymmetric unit:
Th: 0.0000 0.0598 0.2500  6 Co 2.96-3.03, 1 As 2.99
Th: 0.0000 0.3219 0.2500  5 As 2.94-3.01, 1 Co 3.16
Co: 0.0000 0.4596 0.2500  2 Co 2.84, 7 Th 2.96-3.16
As: 0.0000 0.1905 0.2500  6 Th 2.94-3.01



6.
Material: CrAgAu2
Method: DFT, GGA-PBE
State: relaxed

Values from the calculation:
E_form, meV per atom: 109
Total magnetization, μB per atom: 1.055
VASP energy, eV/atom: -4.6483
Theoretical density, g cm⁻³: 13.1

Lattice parameters (Å, degrees): 3.0634 4.7362 4.8479 90.00 90.00 90.00
Last column: nearest neighbours and their distance in Å.
Space group Pmm2 (No. 25)
Asymmetric unit:
Cr: 0.0000 0.0000 0.0000  8 Au 2.85-2.89, 2 Ag 2.99, 2 Cr 3.06
Ag: 0.0000 0.5000 0.6219  8 Au 2.84-2.89, 2 Cr 2.99, 2 Ag 3.06
Au: 0.5000 0.0000 0.4956  4 Cr 2.85-2.89, 4 Ag 2.89, 4 Au 3.00-3.06
Au: 0.5000 0.5000 0.1151  4 Ag 2.84-2.89, 4 Cr 2.87, 4 Au 3.00-3.06



7.
Material: MgNiMo
Method: DFT, GGA-PBE
State: relaxed

Values from the calculation:
E_form, meV per atom: 163
Total magnetization, μB per atom: 0.000
VASP energy, eV/atom: -5.9064
Theoretical density, g cm⁻³: 6.6

Lattice parameters (Å, degrees): 2.7193 4.9030 6.9099 81.77 78.71 88.52
Last column: nearest neighbours and their distance in Å.
Space group P1 (No. 1)
Asymmetric unit:
Mg: 0.0000 0.0000 0.0000  3 Ni 2.69-2.85, 6 Mg 2.72-2.86, 3 Mo 2.81-2.99
Mg: 0.4728 0.4950 0.0269  3 Ni 2.70-2.86, 6 Mg 2.72-2.86, 3 Mo 2.89-3.00
Ni: 0.6756 0.8934 0.6749  5 Mo 2.55-2.80, 3 Ni 2.60-2.72, 2 Mg 2.69-2.71
Ni: 0.8375 0.2522 0.3532  5 Mo 2.57-2.86, 3 Ni 2.60-2.72, 3 Mg 2.70-2.85
Mo: 0.1637 0.3849 0.6515  3 Mo 2.50-2.72, 4 Ni 2.57-2.75
Mo: 0.3565 0.7759 0.3733  3 Mo 2.50-2.72, 4 Ni 2.55-2.70



8.
Material: Pa2ReSi
Method: DFT, GGA-PBE
State: relaxed

Values from the calculation:
Total magnetization, μB per atom: 0.000
VASP energy, eV/atom: -9.4593
Theoretical density, g cm⁻³: 13.8
ΔE_f (raw), eV/atom: -0.244

Lattice parameters (Å, degrees): 3.6573 3.6573 6.0883 90.00 90.00 90.00
Last column: nearest neighbours and their distance in Å.
Space group P4/mmm (No. 123)
Asymmetric unit:
Pa: 0.0000 0.0000 0.2372  2 Pa 2.89-3.20, 4 Si 2.96, 4 Re 3.04
Re: 0.5000 0.5000 0.5000  8 Pa 3.04, 2 Si 3.04
Si: 0.5000 0.5000 0.0000  8 Pa 2.96, 2 Re 3.04